Model i:
{
  "formula": "RbPS2Cl",
  "functional": "PBE",
  "state": "relaxed",
  "spacegroup": "No. 123",
  "dos_at_fermi_per_ev_cell": 1.16,
  "lattice_angstrom": [[4.575, 0.000, 0.000], [0.000, 4.575, 0.000], [0.000, 0.000, 5.563]],
  "species": ["Rb", "P", "S", "S", "Cl"],
  "frac_coords": [[0.000, 0.000, 0.000], [0.500, 0.500, 0.500], [0.000, 0.500, 0.500], [0.500, 0.000, 0.500], [0.500, 0.500, 0.000]]
}

***

Model ii:
{
  "formula": "RbPS2Cl",
  "functional": "PBE",
  "state": "relaxed",
  "spacegroup": "No. 123",
  "dos_at_fermi_per_ev_cell": 6.22,
  "lattice_angstrom": [[6.722, 0.000, 0.000], [0.000, 6.722, 0.000], [0.000, 0.000, 6.087]],
  "species": ["Rb", "P", "S", "S", "Cl"],
  "frac_coords": [[0.000, 0.000, 0.000], [0.500, 0.500, 0.500], [0.000, 0.500, 0.000], [0.500, 0.000, 0.000], [0.000, 0.000, 0.500]]
}

***

Model iii:
{
  "formula": "RbPS2Cl",
  "functional": "PBE",
  "state": "relaxed",
  "spacegroup": "No. 123",
  "dos_at_fermi_per_ev_cell": 3.58,
  "lattice_angstrom": [[5.213, 0.000, 0.000], [0.000, 5.213, 0.000], [0.000, 0.000, 4.793]],
  "species": ["Rb", "P", "S", "S", "Cl"],
  "frac_coords": [[0.000, 0.000, 0.000], [0.500, 0.500, 0.000], [0.000, 0.500, 0.500], [0.500, 0.000, 0.500], [0.500, 0.500, 0.500]]
}

***

Stability, lowest: model ii

***

Model i:
{
  "formula": "RbSbP2Cl",
  "functional": "PBE",
  "state": "relaxed",
  "spacegroup": "No. 123",
  "dos_at_fermi_per_ev_cell": 4.25,
  "lattice_angstrom": [[5.110, 0.000, 0.000], [0.000, 5.110, 0.000], [0.000, 0.000, 5.968]],
  "species": ["Rb", "Sb", "P", "P", "Cl"],
  "frac_coords": [[0.000, 0.000, 0.000], [0.500, 0.500, 0.500], [0.000, 0.500, 0.500], [0.500, 0.000, 0.500], [0.500, 0.500, 0.000]]
}

***

Model ii:
{
  "formula": "RbSbP2Cl",
  "functional": "PBE",
  "state": "relaxed",
  "spacegroup": "No. 123",
  "dos_at_fermi_per_ev_cell": 0.00,
  "lattice_angstrom": [[6.555, 0.000, 0.000], [0.000, 6.555, 0.000], [0.000, 0.000, 5.779]],
  "species": ["Rb", "Sb", "P", "P", "Cl"],
  "frac_coords": [[0.000, 0.000, 0.000], [0.500, 0.500, 0.500], [0.000, 0.500, 0.000], [0.500, 0.000, 0.000], [0.000, 0.000, 0.500]]
}

***

Stability, lowest: model ii

***

Model i:
{
  "formula": "RbSbPCl2",
  "functional": "PBE",
  "state": "relaxed",
  "spacegroup": "No. 123",
  "dos_at_fermi_per_ev_cell": 4.16,
  "lattice_angstrom": [[5.589, 0.000, 0.000], [0.000, 5.589, 0.000], [0.000, 0.000, 5.198]],
  "species": ["Rb", "Sb", "P", "Cl", "Cl"],
  "frac_coords": [[0.000, 0.000, 0.000], [0.500, 0.500, 0.500], [0.500, 0.500, 0.000], [0.000, 0.500, 0.500], [0.500, 0.000, 0.500]]
}

***

Model ii:
{
  "formula": "RbSbPCl2",
  "functional": "PBE",
  "state": "relaxed",
  "spacegroup": "No. 123",
  "dos_at_fermi_per_ev_cell": 5.74,
  "lattice_angstrom": [[5.905, 0.000, 0.000], [0.000, 5.905, 0.000], [0.000, 0.000, 6.284]],
  "species": ["Rb", "Sb", "P", "Cl", "Cl"],
  "frac_coords": [[0.000, 0.000, 0.000], [0.500, 0.500, 0.500], [0.000, 0.000, 0.500], [0.000, 0.500, 0.000], [0.500, 0.000, 0.000]]
}

***

Stability, lowest: model ii

***

Model i:
{
  "formula": "RbPSeCl2",
  "functional": "PBE",
  "state": "relaxed",
  "spacegroup": "No. 123",
  "dos_at_fermi_per_ev_cell": 8.68,
  "lattice_angstrom": [[6.077, 0.000, 0.000], [0.000, 6.077, 0.000], [0.000, 0.000, 6.970]],
  "species": ["Rb", "P", "Se", "Cl", "Cl"],
  "frac_coords": [[0.000, 0.000, 0.000], [0.000, 0.000, 0.500], [0.500, 0.500, 0.500], [0.000, 0.500, 0.000], [0.500, 0.000, 0.000]]
}

***

Model ii:
{
  "formula": "RbPSeCl2",
  "functional": "PBE",
  "state": "relaxed",
  "spacegroup": "No. 123",
  "dos_at_fermi_per_ev_cell": 1.98,
  "lattice_angstrom": [[5.621, 0.000, 0.000], [0.000, 5.621, 0.000], [0.000, 0.000, 4.732]],
  "species": ["Rb", "P", "Se", "Cl", "Cl"],
  "frac_coords": [[0.000, 0.000, 0.000], [0.500, 0.500, 0.000], [0.500, 0.500, 0.500], [0.000, 0.500, 0.500], [0.500, 0.000, 0.500]]
}

***

Stability, lowest: model i

***

Model i:
{
  "formula": "RbSiP2Cl",
  "functional": "PBE",
  "state": "relaxed",
  "spacegroup": "No. 123",
  "dos_at_fermi_per_ev_cell": 2.37,
  "lattice_angstrom": [[4.492, 0.000, 0.000], [0.000, 4.492, 0.000], [0.000, 0.000, 6.601]],
  "species": ["Rb", "Si", "P", "P", "Cl"],
  "frac_coords": [[0.000, 0.000, 0.000], [0.500, 0.500, 0.500], [0.000, 0.500, 0.500], [0.500, 0.000, 0.500], [0.500, 0.500, 0.000]]
}

***

Model ii:
{
  "formula": "RbSiP2Cl",
  "functional": "PBE",
  "state": "relaxed",
  "spacegroup": "No. 123",
  "dos_at_fermi_per_ev_cell": 3.53,
  "lattice_angstrom": [[5.612, 0.000, 0.000], [0.000, 5.612, 0.000], [0.000, 0.000, 5.615]],
  "species": ["Rb", "Si", "P", "P", "Cl"],
  "frac_coords": [[0.000, 0.000, 0.000], [0.500, 0.500, 0.500], [0.000, 0.500, 0.000], [0.500, 0.000, 0.000], [0.000, 0.000, 0.500]]
}

***

Stability, lowest: model ii

***

Model i:
{
  "formula": "RbSnP2Cl",
  "functional": "PBE",
  "state": "relaxed",
  "spacegroup": "No. 123",
  "dos_at_fermi_per_ev_cell": 4.21,
  "lattice_angstrom": [[5.534, 0.000, 0.000], [0.000, 5.534, 0.000], [0.000, 0.000, 5.616]],
  "species": ["Rb", "Sn", "P", "P", "Cl"],
  "frac_coords": [[0.000, 0.000, 0.000], [0.500, 0.500, 0.500], [0.000, 0.500, 0.000], [0.500, 0.000, 0.000], [0.000, 0.000, 0.500]]
}

***

Model ii:
{
  "formula": "RbSnP2Cl",
  "functional": "PBE",
  "state": "relaxed",
  "spacegroup": "No. 123",
  "dos_at_fermi_per_ev_cell": 3.07,
  "lattice_angstrom": [[5.081, 0.000, 0.000], [0.000, 5.081, 0.000], [0.000, 0.000, 5.969]],
  "species": ["Rb", "Sn", "P", "P", "Cl"],
  "frac_coords": [[0.000, 0.000, 0.000], [0.500, 0.500, 0.500], [0.000, 0.500, 0.500], [0.500, 0.000, 0.500], [0.500, 0.500, 0.000]]
}

***

Stability, lowest: model i

***

Model i:
{
  "formula": "RbSnPCl2",
  "functional": "PBE",
  "state": "relaxed",
  "spacegroup": "No. 123",
  "dos_at_fermi_per_ev_cell": 4.35,
  "lattice_angstrom": [[5.604, 0.000, 0.000], [0.000, 5.604, 0.000], [0.000, 0.000, 5.127]],
  "species": ["Rb", "Sn", "P", "Cl", "Cl"],
  "frac_coords": [[0.000, 0.000, 0.000], [0.500, 0.500, 0.500], [0.500, 0.500, 0.000], [0.000, 0.500, 0.500], [0.500, 0.000, 0.500]]
}

***

Model ii:
{
  "formula": "RbSnPCl2",
  "functional": "PBE",
  "state": "relaxed",
  "spacegroup": "No. 123",
  "dos_at_fermi_per_ev_cell": 2.92,
  "lattice_angstrom": [[5.790, 0.000, 0.000], [0.000, 5.790, 0.000], [0.000, 0.000, 6.120]],
  "species": ["Rb", "Sn", "P", "Cl", "Cl"],
  "frac_coords": [[0.000, 0.000, 0.000], [0.500, 0.500, 0.500], [0.000, 0.000, 0.500], [0.000, 0.500, 0.000], [0.500, 0.000, 0.000]]
}

***

Stability, lowest: model ii

***

Model i:
{
  "formula": "RbSrP2Cl",
  "functional": "PBE",
  "state": "relaxed",
  "spacegroup": "No. 123",
  "dos_at_fermi_per_ev_cell": 5.55,
  "lattice_angstrom": [[5.424, 0.000, 0.000], [0.000, 5.424, 0.000], [0.000, 0.000, 5.779]],
  "species": ["Rb", "Sr", "P", "P", "Cl"],
  "frac_coords": [[0.000, 0.000, 0.000], [0.500, 0.500, 0.500], [0.000, 0.500, 0.000], [0.500, 0.000, 0.000], [0.000, 0.000, 0.500]]
}

***

Model ii:
{
  "formula": "RbSrP2Cl",
  "functional": "PBE",
  "state": "relaxed",
  "spacegroup": "No. 123",
  "dos_at_fermi_per_ev_cell": 3.92,
  "lattice_angstrom": [[6.041, 0.000, 0.000], [0.000, 6.041, 0.000], [0.000, 0.000, 5.684]],
  "species": ["Rb", "Sr", "P", "P", "Cl"],
  "frac_coords": [[0.000, 0.000, 0.000], [0.500, 0.500, 0.500], [0.000, 0.500, 0.500], [0.500, 0.000, 0.500], [0.500, 0.500, 0.000]]
}

***

Stability, lowest: model i

***

Model i:
{
  "formula": "RbTiP2Cl",
  "functional": "PBE",
  "state": "relaxed",
  "spacegroup": "No. 123",
  "dos_at_fermi_per_ev_cell": 6.62,
  "lattice_angstrom": [[5.297, 0.000, 0.000], [0.000, 5.297, 0.000], [0.000, 0.000, 5.451]],
  "species": ["Rb", "Ti", "P", "P", "Cl"],
  "frac_coords": [[0.000, 0.000, 0.000], [0.500, 0.500, 0.500], [0.000, 0.500, 0.000], [0.500, 0.000, 0.000], [0.000, 0.000, 0.500]]
}

***

Model ii:
{
  "formula": "RbTiP2Cl",
  "functional": "PBE",
  "state": "relaxed",
  "spacegroup": "No. 123",
  "dos_at_fermi_per_ev_cell": 2.45,
  "lattice_angstrom": [[4.714, 0.000, 0.000], [0.000, 4.714, 0.000], [0.000, 0.000, 5.599]],
  "species": ["Rb", "Ti", "P", "P", "Cl"],
  "frac_coords": [[0.000, 0.000, 0.000], [0.500, 0.500, 0.500], [0.000, 0.500, 0.500], [0.500, 0.000, 0.500], [0.500, 0.500, 0.000]]
}

***

Stability, lowest: model i

***

Model i:
{
  "formula": "RbTlPCl2",
  "functional": "PBE",
  "state": "relaxed",
  "spacegroup": "No. 123",
  "dos_at_fermi_per_ev_cell": 1.33,
  "lattice_angstrom": [[5.805, 0.000, 0.000], [0.000, 5.805, 0.000], [0.000, 0.000, 5.258]],
  "species": ["Rb", "Tl", "P", "Cl", "Cl"],
  "frac_coords": [[0.000, 0.000, 0.000], [0.500, 0.500, 0.500], [0.500, 0.500, 0.000], [0.000, 0.500, 0.500], [0.500, 0.000, 0.500]]
}

***

Model ii:
{
  "formula": "RbTlPCl2",
  "functional": "PBE",
  "state": "relaxed",
  "spacegroup": "No. 123",
  "lattice_angstrom": [[6.173, 0.000, 0.000], [0.000, 6.173, 0.000], [0.000, 0.000, 6.211]],
  "species": ["Rb", "Tl", "P", "Cl", "Cl"],
  "frac_coords": [[0.000, 0.000, 0.000], [0.500, 0.500, 0.500], [0.000, 0.000, 0.500], [0.000, 0.500, 0.000], [0.500, 0.000, 0.000]]
}

***

Stability, lowest: model ii

***

Model i:
{
  "formula": "RbYP2Cl",
  "functional": "PBE",
  "state": "relaxed",
  "spacegroup": "No. 123",
  "dos_at_fermi_per_ev_cell": 4.28,
  "lattice_angstrom": [[5.225, 0.000, 0.000], [0.000, 5.225, 0.000], [0.000, 0.000, 5.393]],
  "species": ["Rb", "Y", "P", "P", "Cl"],
  "frac_coords": [[0.000, 0.000, 0.000], [0.500, 0.500, 0.500], [0.000, 0.500, 0.000], [0.500, 0.000, 0.000], [0.000, 0.000, 0.500]]
}

***

Model ii:
{
  "formula": "RbYP2Cl",
  "functional": "PBE",
  "state": "relaxed",
  "spacegroup": "No. 123",
  "dos_at_fermi_per_ev_cell": 3.39,
  "lattice_angstrom": [[5.389, 0.000, 0.000], [0.000, 5.389, 0.000], [0.000, 0.000, 5.544]],
  "species": ["Rb", "Y", "P", "P", "Cl"],
  "frac_coords": [[0.000, 0.000, 0.000], [0.500, 0.500, 0.500], [0.000, 0.500, 0.500], [0.500, 0.000, 0.500], [0.500, 0.500, 0.000]]
}

***

Stability, lowest: model i

***

Model i:
{
  "formula": "ReP2SCl",
  "functional": "PBE",
  "state": "relaxed",
  "spacegroup": "No. 123",
  "dos_at_fermi_per_ev_cell": 5.23,
  "lattice_angstrom": [[4.693, 0.000, 0.000], [0.000, 4.693, 0.000], [0.000, 0.000, 4.542]],
  "species": ["Re", "P", "P", "S", "Cl"],
  "frac_coords": [[0.000, 0.000, 0.000], [0.000, 0.500, 0.000], [0.500, 0.000, 0.000], [0.000, 0.000, 0.500], [0.500, 0.500, 0.500]]
}

***

Model ii:
{
  "formula": "ReP2SCl",
  "functional": "PBE",
  "state": "relaxed",
  "spacegroup": "No. 123",
  "dos_at_fermi_per_ev_cell": 4.24,
  "lattice_angstrom": [[4.347, 0.000, 0.000], [0.000, 4.347, 0.000], [0.000, 0.000, 4.484]],
  "species": ["Re", "P", "P", "S", "Cl"],
  "frac_coords": [[0.000, 0.000, 0.000], [0.000, 0.500, 0.500], [0.500, 0.000, 0.500], [0.500, 0.500, 0.000], [0.500, 0.500, 0.500]]
}

***

Stability, lowest: model ii